# 1
This record from the Alexandria database describes an optimized crystal structure of RuPtI2O. The functional is PBE.

Properties
The formation energy without anion corrections is 0.29 eV per atom. As for the density of states at the Fermi level: 0.993 states/eV per atom. Its relative energy among the computed polymorphs is 0.00 eV per formula unit. Its mass density is 8.65 g cm⁻³.

abc: 5.433 5.433 3.682
angles: 90.00 90.00 90.00
Space group P4/mmm (No. 123)
Unique sites:
Ru 0.000 0.000 0.000
Pt 0.500 0.500 0.500
I 0.000 0.500 0.000
O 0.000 0.000 0.500

=====

# 2
This record from the Alexandria database describes an optimized crystal structure of PtS2IO8. The functional is PBE.

Properties
The formation energy without anion corrections is -0.79 eV per atom. As for the density of states at the Fermi level: 0.156 states/eV per atom. Its mass density is 3.96 g cm⁻³.

abc: 8.102 5.506 10.001
angles: 90.00 105.07 90.00
Space group C2/m (No. 12)
Unique sites:
Pt 0.000 0.000 0.000
S 0.094 0.500 0.842
I 0.000 0.500 0.500
O 0.013 0.281 0.157
O 0.165 0.500 0.718
O 0.243 0.500 0.970

=====

# 3
This record from the Alexandria database describes an optimized crystal structure of PtSI2O. The functional is PBE.

Properties
The formation energy without anion corrections is 0.58 eV per atom. As for the density of states at the Fermi level: 0.788 states/eV per atom. Its relative energy among the computed polymorphs is 0.69 eV per formula unit. Its mass density is 7.65 g cm⁻³.

abc: 5.565 5.565 3.485
angles: 90.00 90.00 90.00
Space group P4/mmm (No. 123)
Unique sites:
Pt 0.000 0.000 0.000
S 0.500 0.500 0.500
I 0.000 0.500 0.500
O 0.500 0.500 0.000

=====

# 4
This record from the Alexandria database describes an optimized crystal structure of PtSIO2. The functional is PBE.

Properties
The formation energy without anion corrections is 0.38 eV per atom. As for the density of states at the Fermi level: 1.018 states/eV per atom. Its mass density is 6.45 g cm⁻³.

abc: 3.698 3.698 7.267
angles: 90.00 90.00 90.00
Space group P4/mmm (No. 123)
Unique sites:
Pt 0.000 0.000 0.000
S 0.500 0.500 0.500
I 0.500 0.500 0.000
O 0.000 0.500 0.500

=====

# 5
This record from the Alexandria database describes an optimized crystal structure of PtSI2O. The functional is PBE.

Properties
The formation energy without anion corrections is 0.44 eV per atom. As for the density of states at the Fermi level: 1.046 states/eV per atom. Its relative energy among the computed polymorphs is 0.00 eV per formula unit. Its mass density is 6.83 g cm⁻³.

abc: 5.646 5.646 3.788
angles: 90.00 90.00 90.00
Space group P4/mmm (No. 123)
Unique sites:
Pt 0.000 0.000 0.000
S 0.500 0.500 0.500
I 0.000 0.500 0.000
O 0.000 0.000 0.500

=====

# 6
This record from the Alexandria database describes an optimized crystal structure of PtSIO2. The functional is PBE.

Properties
The formation energy without anion corrections is 0.18 eV per atom. As for the density of states at the Fermi level: 0.677 states/eV per atom. Its mass density is 5.17 g cm⁻³.

abc: 3.812 3.812 8.534
angles: 90.00 90.00 90.00
Space group P4/mmm (No. 123)
Unique sites:
Pt 0.000 0.000 0.000
S 0.500 0.500 0.500
I 0.000 0.000 0.500
O 0.000 0.500 0.000

=====

# 7
This record from the Alexandria database describes an optimized crystal structure of SbPtI2O. The functional is PBE.

Properties
The formation energy without anion corrections is 0.81 eV per atom. As for the density of states at the Fermi level: 2.429 states/eV per atom. Its relative energy among the computed polymorphs is 3.30 eV per formula unit. Its mass density is 6.27 g cm⁻³.

abc: 5.485 5.485 5.165
angles: 90.00 90.00 90.00
Space group P4/mmm (No. 123)
Unique sites:
Sb 0.000 0.000 0.000
Pt 0.000 0.000 0.500
I 0.000 0.500 0.500
O 0.500 0.500 0.000

=====

# 8
This record from the Alexandria database describes an optimized crystal structure of Sb2PtIO. The functional is PBE.

Properties
The formation energy without anion corrections is 0.38 eV per atom. As for the density of states at the Fermi level: 0.723 states/eV per atom. Its relative energy among the computed polymorphs is 0.00 eV per formula unit. Its mass density is 8.34 g cm⁻³.

abc: 4.438 4.438 5.876
angles: 90.00 90.00 90.00
Space group P4/mmm (No. 123)
Unique sites:
Sb 0.000 0.500 0.000
Pt 0.000 0.000 0.500
I 0.500 0.500 0.500
O 0.500 0.500 0.000

=====

# 9
This record from the Alexandria database describes an optimized crystal structure of SbPtI2O. The functional is PBE.

Properties
The formation energy without anion corrections is 0.70 eV per atom. As for the density of states at the Fermi level: 1.202 states/eV per atom. Its relative energy among the computed polymorphs is 2.72 eV per formula unit. Its mass density is 8.26 g cm⁻³.

abc: 5.110 5.110 4.519
angles: 90.00 90.00 90.00
Space group P4/mmm (No. 123)
Unique sites:
Sb 0.000 0.000 0.000
Pt 0.500 0.500 0.000
I 0.000 0.500 0.500
O 0.000 0.000 0.500

=====

# 10
This record from the Alexandria database describes an optimized crystal structure of SbPtIO2. The functional is PBE.

Properties
The formation energy without anion corrections is 0.39 eV per atom. As for the density of states at the Fermi level: 0.905 states/eV per atom. Its relative energy among the computed polymorphs is 3.02 eV per formula unit. Its mass density is 8.30 g cm⁻³.

abc: 4.241 4.241 5.290
angles: 90.00 90.00 90.00
Space group P4/mmm (No. 123)
Unique sites:
Sb 0.000 0.000 0.000
Pt 0.500 0.500 0.500
I 0.500 0.500 0.000
O 0.000 0.500 0.500

=====

# 11
This record from the Alexandria database describes an optimized crystal structure of SbPtI2O. The functional is PBE.

Properties
The formation energy without anion corrections is 0.15 eV per atom. As for the density of states at the Fermi level: 1.019 states/eV per atom. Its relative energy among the computed polymorphs is 0.00 eV per formula unit. Its mass density is 7.63 g cm⁻³.

abc: 5.778 5.778 3.827
angles: 90.00 90.00 90.00
Space group P4/mmm (No. 123)
Unique sites:
Sb 0.000 0.000 0.000
Pt 0.500 0.500 0.500
I 0.000 0.500 0.500
O 0.500 0.500 0.000

=====

# 12
This record from the Alexandria database describes an optimized crystal structure of SbPtI2O. The functional is PBE.

Properties
The formation energy without anion corrections is 0.39 eV per atom. As for the density of states at the Fermi level: 1.091 states/eV per atom. Its relative energy among the computed polymorphs is 1.16 eV per formula unit. Its mass density is 6.90 g cm⁻³.

abc: 5.943 5.943 3.995
angles: 90.00 90.00 90.00
Space group P4/mmm (No. 123)
Unique sites:
Sb 0.000 0.000 0.000
Pt 0.500 0.500 0.500
I 0.000 0.500 0.000
O 0.000 0.000 0.500

=====

# 13
This record from the Alexandria database describes an optimized crystal structure of SbPtIO2. The functional is PBE.

Properties
The formation energy without anion corrections is -0.22 eV per atom. As for the density of states at the Fermi level: 0.303 states/eV per atom. Its relative energy among the computed polymorphs is 0.00 eV per formula unit. Its mass density is 7.59 g cm⁻³.

abc: 3.925 3.925 6.758
angles: 90.00 90.00 90.00
Space group P4/mmm (No. 123)
Unique sites:
Sb 0.000 0.000 0.000
Pt 0.500 0.500 0.500
I 0.000 0.000 0.500
O 0.000 0.500 0.000

=====

# 14
This record from the Alexandria database describes an optimized crystal structure of Sb2PtIO. The functional is PBE.

Properties
The formation energy without anion corrections is 0.80 eV per atom. As for the density of states at the Fermi level: 1.608 states/eV per atom. Its relative energy among the computed polymorphs is 2.12 eV per formula unit. Its mass density is 6.50 g cm⁻³.

abc: 5.220 5.220 5.455
angles: 90.00 90.00 90.00
Space group P4/mmm (No. 123)
Unique sites:
Sb 0.000 0.500 0.000
Pt 0.000 0.000 0.000
I 0.000 0.000 0.500
O 0.500 0.500 0.500

=====

# 15
This record from the Alexandria database describes an optimized crystal structure of ScPtIO2. The functional is PBE.

Properties
The formation energy without anion corrections is -0.93 eV per atom. As for the density of states at the Fermi level: 1.579 states/eV per atom. Its relative energy among the computed polymorphs is 0.00 eV per formula unit. Its mass density is 6.14 g cm⁻³.

abc: 3.945 3.945 6.935
angles: 90.00 90.00 90.00
Space group P4/mmm (No. 123)
Unique sites:
Sc 0.000 0.000 0.000
Pt 0.500 0.500 0.500
I 0.000 0.000 0.500
O 0.000 0.500 0.000

=====

# 16
This record from the Alexandria database describes an optimized crystal structure of ScPtIO2. The functional is PBE.

Properties
The formation energy without anion corrections is -0.16 eV per atom. As for the density of states at the Fermi level: 0.809 states/eV per atom. Its relative energy among the computed polymorphs is 3.87 eV per formula unit. Its mass density is 7.34 g cm⁻³.

abc: 4.157 4.157 5.225
angles: 90.00 90.00 90.00
Space group P4/mmm (No. 123)
Unique sites:
Sc 0.000 0.000 0.000
Pt 0.500 0.500 0.500
I 0.500 0.500 0.000
O 0.000 0.500 0.500

=====

# 17
This record from the Alexandria database describes an optimized crystal structure of PtSeI2O. The functional is PBE.

Properties
The formation energy without anion corrections is 0.57 eV per atom. As for the density of states at the Fermi level: 1.000 states/eV per atom. Its relative energy among the computed polymorphs is 1.34 eV per formula unit. Its mass density is 7.44 g cm⁻³.

abc: 5.709 5.709 3.724
angles: 90.00 90.00 90.00
Space group P4/mmm (No. 123)
Unique sites:
Pt 0.000 0.000 0.000
Se 0.500 0.500 0.500
I 0.000 0.500 0.500
O 0.500 0.500 0.000

=====

# 18
This record from the Alexandria database describes an optimized crystal structure of PtSeI2O. The functional is PBE.

Properties
The formation energy without anion corrections is 0.30 eV per atom. As for the density of states at the Fermi level: 1.155 states/eV per atom. Its relative energy among the computed polymorphs is 0.00 eV per formula unit. Its mass density is 7.36 g cm⁻³.

abc: 5.678 5.678 3.807
angles: 90.00 90.00 90.00
Space group P4/mmm (No. 123)
Unique sites:
Pt 0.000 0.000 0.000
Se 0.500 0.500 0.500
I 0.000 0.500 0.000
O 0.000 0.000 0.500

=====

# 19
This record from the Alexandria database describes an optimized crystal structure of SiPtI2O. The functional is PBE.

Properties
The formation energy without anion corrections is 0.00 eV per atom. As for the density of states at the Fermi level: 0.844 states/eV per atom. Its relative energy among the computed polymorphs is 0.00 eV per formula unit. Its mass density is 7.96 g cm⁻³.

abc: 5.491 5.491 3.412
angles: 90.00 90.00 90.00
Space group P4/mmm (No. 123)
Unique sites:
Si 0.000 0.000 0.000
Pt 0.500 0.500 0.500
I 0.000 0.500 0.000
O 0.000 0.000 0.500

=====

# 20
This record from the Alexandria database describes an optimized crystal structure of SiPtI2O. The functional is PBE.

Properties
The formation energy without anion corrections is 0.36 eV per atom. As for the density of states at the Fermi level: 0.959 states/eV per atom. Its relative energy among the computed polymorphs is 1.76 eV per formula unit. Its mass density is 6.70 g cm⁻³.

abc: 5.637 5.637 3.844
angles: 90.00 90.00 90.00
Space group P4/mmm (No. 123)
Unique sites:
Si 0.000 0.000 0.000
Pt 0.500 0.500 0.500
I 0.000 0.500 0.500
O 0.500 0.500 0.000